[1]
# NdEr2Mg2 (GGA-PBE, optimized geometry)
data_NdEr2Mg2
_space_group_name_H-M_alt 'P 1'
_space_group_IT_number 1
_cell_length_a 3.582
_cell_length_b 8.997
_cell_length_c 8.997
_cell_angle_alpha 90.00
_cell_angle_beta 90.00
_cell_angle_gamma 90.00
loop_
_space_group_symop_operation_xyz
'x,y,z'
loop_
_atom_site_label
_atom_site_type_symbol
_atom_site_fract_x
_atom_site_fract_y
_atom_site_fract_z
_atom_site_occupancy
Nd1 Nd 0.000 0.000 0.000 1
Nd2 Nd 0.000 0.500 0.500 1
Er1 Er 0.000 0.369 0.869 1
Er2 Er 0.000 0.869 0.631 1
Er3 Er 0.000 0.631 0.131 1
Er4 Er 0.000 0.131 0.369 1
Mg1 Mg 0.500 0.166 0.666 1
Mg2 Mg 0.500 0.666 0.834 1
Mg3 Mg 0.500 0.834 0.334 1
Mg4 Mg 0.500 0.334 0.166 1
# energy above the lowest structure with this stoichiometry	0.111	eV/atom
# Fermi-level density of states	1.38	states/eV/atom

=====

[2]
# ScNiAg4 (GGA-PBE, optimized geometry)
data_ScNiAg4
_space_group_name_H-M_alt 'P 1'
_space_group_IT_number 1
_cell_length_a 5.394
_cell_length_b 5.394
_cell_length_c 5.394
_cell_angle_alpha 60.00
_cell_angle_beta 60.00
_cell_angle_gamma 60.00
loop_
_space_group_symop_operation_xyz
'x,y,z'
loop_
_atom_site_label
_atom_site_type_symbol
_atom_site_fract_x
_atom_site_fract_y
_atom_site_fract_z
_atom_site_occupancy
Sc1 Sc 0.000 0.000 0.000 1
Ni1 Ni 0.750 0.750 0.750 1
Ag1 Ag 0.874 0.375 0.375 1
Ag2 Ag 0.375 0.375 0.874 1
Ag3 Ag 0.375 0.874 0.375 1
Ag4 Ag 0.375 0.375 0.375 1
# Fermi-level density of states	0.79	states/eV/atom
# calculated total energy	-3.77	eV per atom